Entry 1:
DFT (PBE) results for NaZr2Cr2 after structural relaxation.

The structure in POSCAR format:
```
NaZr2Cr2
1.0
8.180 0.000 0.000
0.000 8.180 0.000
0.000 0.000 3.088
Na Zr Cr
2 4 4
direct
0.000 0.000 0.000 Na
0.500 0.500 0.000 Na
0.144 0.356 0.000 Zr
0.356 0.856 0.000 Zr
0.644 0.144 0.000 Zr
0.856 0.644 0.000 Zr
0.143 0.643 0.500 Cr
0.357 0.143 0.500 Cr
0.643 0.857 0.500 Cr
0.857 0.357 0.500 Cr
```



Entry 2:
DFT (PBE) results for NaZrCr3 after structural relaxation.

The structure in POSCAR format:
```
NaZrCr3
1.0
5.000 0.000 0.000
0.000 5.000 0.000
0.000 0.000 5.000
Na Zr Cr
1 1 3
direct
0.000 0.000 0.000 Na
0.500 0.500 0.500 Zr
0.000 0.500 0.500 Cr
0.500 0.000 0.500 Cr
0.500 0.500 0.000 Cr
```



Entry 3:
DFT (PBE) results for NaZr3Cr after structural relaxation.

The structure in POSCAR format:
```
NaZr3Cr
1.0
4.970 0.000 0.000
0.000 4.970 0.000
0.000 0.000 4.970
Na Zr Cr
1 3 1
direct
0.000 0.000 0.000 Na
0.000 0.500 0.500 Zr
0.500 0.000 0.500 Zr
0.500 0.500 0.000 Zr
0.500 0.500 0.500 Cr
```



Number 1: formation energy 567.8 meV per atom, magnetic moment 11.04 μB per cell. Number 2: formation energy 1525.5 meV per atom, magnetic moment 10.86 μB per cell. Number 3: formation energy 644.5 meV per atom, magnetic moment 0.00 μB per cell.